# 1
# RbLiTmS2, optimized geometry, DFT PBE
data_RbLiTmS2
_cell_length_a 8.705
_cell_length_b 8.705
_cell_length_c 5.056
_cell_angle_alpha 90.00
_cell_angle_beta 90.00
_cell_angle_gamma 127.15
_space_group_name_H-M_alt 'P 1'
_space_group_IT_number 1
_space_group_name_Hall 'P 1'
loop_
_atom_site_label
_atom_site_fract_x
_atom_site_fract_y
_atom_site_fract_z
Rb1 0.250 0.750 0.835
Rb2 0.750 0.250 0.165
Li1 0.000 0.000 0.000
Li2 0.500 0.500 0.000
Tm1 0.250 0.250 0.500
Tm2 0.750 0.750 0.500
S1 0.105 0.895 0.353
S2 0.395 0.605 0.353
S3 0.605 0.395 0.647
S4 0.895 0.105 0.647
# Total moment: 0.00 μB per formula unit
# Space group: No. 67
# Formation energy from raw total energies: -1.242 eV/atom

# 2
# Rb3LiU3S8, optimized geometry, DFT PBE
data_Rb3LiU3S8
_cell_length_a 9.028
_cell_length_b 9.028
_cell_length_c 9.028
_cell_angle_alpha 52.87
_cell_angle_beta 52.87
_cell_angle_gamma 52.87
_space_group_name_H-M_alt 'P 1'
_space_group_IT_number 1
_space_group_name_Hall 'P 1'
loop_
_atom_site_label
_atom_site_fract_x
_atom_site_fract_y
_atom_site_fract_z
Rb1 0.000 0.500 0.500
Rb2 0.500 0.000 0.500
Rb3 0.500 0.500 0.000
Li1 0.500 0.500 0.500
U1 0.000 0.000 0.500
U2 0.000 0.500 0.000
U3 0.500 0.000 0.000
S1 0.215 0.734 0.734
S2 0.231 0.231 0.231
S3 0.266 0.266 0.785
S4 0.266 0.785 0.266
S5 0.734 0.215 0.734
S6 0.734 0.734 0.215
S7 0.769 0.769 0.769
S8 0.785 0.266 0.266
# Total moment: 6.00 μB per formula unit
# Space group: No. 166
# Formation energy from raw total energies: -1.379 eV/atom

# 3
# RbLiU2S6, optimized geometry, DFT PBE
data_RbLiU2S6
_cell_length_a 7.328
_cell_length_b 7.328
_cell_length_c 7.328
_cell_angle_alpha 57.92
_cell_angle_beta 57.92
_cell_angle_gamma 57.92
_space_group_name_H-M_alt 'P 1'
_space_group_IT_number 1
_space_group_name_Hall 'P 1'
loop_
_atom_site_label
_atom_site_fract_x
_atom_site_fract_y
_atom_site_fract_z
Rb1 0.000 0.000 0.000
Li1 0.564 0.564 0.564
U1 0.243 0.243 0.243
U2 0.752 0.752 0.752
S1 0.105 0.497 0.890
S2 0.458 0.988 0.538
S3 0.497 0.890 0.105
S4 0.538 0.458 0.988
S5 0.890 0.105 0.497
S6 0.988 0.538 0.458
# Total moment: 2.00 μB per formula unit
# Space group: No. 146
# Formation energy from raw total energies: -1.247 eV/atom

# 4
# RbLi2U2S6, optimized geometry, DFT PBE
data_RbLi2U2S6
_cell_length_a 6.749
_cell_length_b 7.051
_cell_length_c 7.053
_cell_angle_alpha 60.03
_cell_angle_beta 89.82
_cell_angle_gamma 89.44
_space_group_name_H-M_alt 'P 1'
_space_group_IT_number 1
_space_group_name_Hall 'P 1'
loop_
_atom_site_label
_atom_site_fract_x
_atom_site_fract_y
_atom_site_fract_z
Rb1 0.000 0.000 0.000
Li1 0.500 0.335 0.330
Li2 0.500 0.665 0.670
U1 0.000 0.333 0.333
U2 0.000 0.667 0.667
S1 0.240 0.420 0.000
S2 0.240 0.576 0.422
S3 0.240 0.997 0.579
S4 0.760 0.003 0.421
S5 0.760 0.424 0.578
S6 0.760 0.580 0.000
# Total moment: 3.00 μB per formula unit
# Space group: No. 2
# Formation energy from raw total energies: -1.297 eV/atom

# 5
# Rb3LiU2S9, optimized geometry, DFT PBE
data_Rb3LiU2S9
_cell_length_a 7.269
_cell_length_b 7.269
_cell_length_c 8.957
_cell_angle_alpha 90.00
_cell_angle_beta 90.00
_cell_angle_gamma 120.00
_space_group_name_H-M_alt 'P 1'
_space_group_IT_number 1
_space_group_name_Hall 'P 1'
loop_
_atom_site_label
_atom_site_fract_x
_atom_site_fract_y
_atom_site_fract_z
Rb1 0.000 0.000 0.000
Rb2 0.333 0.667 0.657
Rb3 0.667 0.333 0.343
Li1 0.000 0.000 0.500
U1 0.333 0.667 0.175
U2 0.667 0.333 0.825
S1 0.000 0.500 0.000
S2 0.170 0.339 0.328
S3 0.170 0.830 0.328
S4 0.339 0.170 0.672
S5 0.500 0.000 0.000
S6 0.500 0.500 0.000
S7 0.661 0.830 0.328
S8 0.830 0.170 0.672
S9 0.830 0.661 0.672
# Total moment: 0.00 μB per formula unit
# Space group: No. 164
# Formation energy from raw total energies: -1.091 eV/atom

# 6
# Rb2LiU2S6, optimized geometry, DFT PBE
data_Rb2LiU2S6
_cell_length_a 6.966
_cell_length_b 6.966
_cell_length_c 8.071
_cell_angle_alpha 97.45
_cell_angle_beta 97.45
_cell_angle_gamma 120.75
_space_group_name_H-M_alt 'P 1'
_space_group_IT_number 1
_space_group_name_Hall 'P 1'
loop_
_atom_site_label
_atom_site_fract_x
_atom_site_fract_y
_atom_site_fract_z
Rb1 0.158 0.842 0.000
Rb2 0.842 0.158 0.000
Li1 0.000 0.000 0.500
U1 0.335 0.665 0.500
U2 0.665 0.335 0.500
S1 0.054 0.410 0.684
S2 0.290 0.290 0.319
S3 0.410 0.054 0.684
S4 0.590 0.946 0.316
S5 0.710 0.710 0.681
S6 0.946 0.590 0.316
# Total moment: 3.00 μB per formula unit
# Space group: No. 12
# Formation energy from raw total energies: -1.386 eV/atom

# 7
# Rb2LiU3S8, optimized geometry, DFT PBE
data_Rb2LiU3S8
_cell_length_a 9.371
_cell_length_b 9.371
_cell_length_c 9.371
_cell_angle_alpha 50.49
_cell_angle_beta 50.49
_cell_angle_gamma 50.49
_space_group_name_H-M_alt 'P 1'
_space_group_IT_number 1
_space_group_name_Hall 'P 1'
loop_
_atom_site_label
_atom_site_fract_x
_atom_site_fract_y
_atom_site_fract_z
Rb1 0.000 0.000 0.000
Rb2 0.355 0.355 0.355
Li1 0.841 0.841 0.841
U1 0.356 0.356 0.852
U2 0.356 0.852 0.356
U3 0.852 0.356 0.356
S1 0.087 0.087 0.562
S2 0.087 0.562 0.087
S3 0.131 0.131 0.131
S4 0.147 0.622 0.622
S5 0.562 0.087 0.087
S6 0.580 0.580 0.580
S7 0.622 0.147 0.622
S8 0.622 0.622 0.147
# Total moment: 5.00 μB per formula unit
# Space group: No. 160
# Formation energy from raw total energies: -1.382 eV/atom

# 8
# RbLi2US4, optimized geometry, DFT PBE
data_RbLi2US4
_cell_length_a 6.942
_cell_length_b 6.963
_cell_length_c 8.628
_cell_angle_alpha 90.00
_cell_angle_beta 90.00
_cell_angle_gamma 90.00
_space_group_name_H-M_alt 'P 1'
_space_group_IT_number 1
_space_group_name_Hall 'P 1'
loop_
_atom_site_label
_atom_site_fract_x
_atom_site_fract_y
_atom_site_fract_z
Rb1 0.000 0.000 0.000
Rb2 0.500 0.500 0.500
Li1 0.000 0.500 0.250
Li2 0.000 0.500 0.750
Li3 0.500 0.000 0.250
Li4 0.500 0.000 0.750
U1 0.000 0.000 0.500
U2 0.500 0.500 0.000
S1 0.206 0.205 0.327
S2 0.206 0.795 0.673
S3 0.294 0.295 0.827
S4 0.294 0.705 0.173
S5 0.706 0.295 0.173
S6 0.706 0.705 0.827
S7 0.794 0.205 0.673
S8 0.794 0.795 0.327
# Total moment: 1.00 μB per formula unit
# Space group: No. 23
# Formation energy from raw total energies: -1.104 eV/atom

# 9
# Rb2LiVS4, optimized geometry, DFT PBE
data_Rb2LiVS4
_cell_length_a 13.774
_cell_length_b 12.367
_cell_length_c 7.302
_cell_angle_alpha 84.75
_cell_angle_beta 63.39
_cell_angle_gamma 31.86
_space_group_name_H-M_alt 'P 1'
_space_group_IT_number 1
_space_group_name_Hall 'P 1'
loop_
_atom_site_label
_atom_site_fract_x
_atom_site_fract_y
_atom_site_fract_z
Rb1 0.052 0.052 0.698
Rb2 0.302 0.302 0.948
Rb3 0.698 0.698 0.052
Rb4 0.948 0.948 0.302
Li1 0.125 0.125 0.125
Li2 0.875 0.875 0.875
V1 0.375 0.375 0.375
V2 0.625 0.625 0.625
S1 0.010 0.637 0.553
S2 0.300 0.553 0.637
S3 0.363 0.990 0.700
S4 0.447 0.700 0.990
S5 0.553 0.300 0.010
S6 0.637 0.010 0.300
S7 0.700 0.447 0.363
S8 0.990 0.363 0.447
# Total moment: 0.00 μB per formula unit
# Space group: No. 70
# Formation energy from raw total energies: -1.163 eV/atom

# 10
# Rb2LiVS4, optimized geometry, DFT PBE
data_Rb2LiVS4
_cell_length_a 13.620
_cell_length_b 12.199
_cell_length_c 7.340
_cell_angle_alpha 84.49
_cell_angle_beta 63.07
_cell_angle_gamma 32.44
_space_group_name_H-M_alt 'P 1'
_space_group_IT_number 1
_space_group_name_Hall 'P 1'
loop_
_atom_site_label
_atom_site_fract_x
_atom_site_fract_y
_atom_site_fract_z
Rb1 0.053 0.053 0.697
Rb2 0.303 0.303 0.947
Rb3 0.697 0.697 0.053
Rb4 0.947 0.947 0.303
Li1 0.375 0.375 0.375
Li2 0.625 0.625 0.625
V1 0.125 0.125 0.125
V2 0.875 0.875 0.875
S1 0.055 0.300 0.381
S2 0.235 0.619 0.700
S3 0.300 0.055 0.765
S4 0.381 0.765 0.055
S5 0.619 0.235 0.945
S6 0.700 0.945 0.235
S7 0.765 0.381 0.300
S8 0.945 0.700 0.619
# Total moment: 0.00 μB per formula unit
# Space group: No. 70
# Formation energy from raw total energies: -1.189 eV/atom

# 11
# RbLiWS2, optimized geometry, DFT PBE
data_RbLiWS2
_cell_length_a 5.876
_cell_length_b 5.876
_cell_length_c 5.842
_cell_angle_alpha 90.00
_cell_angle_beta 90.00
_cell_angle_gamma 90.00
_space_group_name_H-M_alt 'P 1'
_space_group_IT_number 1
_space_group_name_Hall 'P 1'
loop_
_atom_site_label
_atom_site_fract_x
_atom_site_fract_y
_atom_site_fract_z
Rb1 0.000 0.000 0.000
Li1 0.500 0.500 0.500
W1 0.000 0.000 0.500
S1 0.000 0.500 0.000
S2 0.500 0.000 0.000
# Total moment: 6.72 μB per formula unit
# Space group: No. 123
# Formation energy from raw total energies: 1.937 eV/atom

# 12
# RbLiWS4, optimized geometry, DFT PBE
data_RbLiWS4
_cell_length_a 6.027
_cell_length_b 7.672
_cell_length_c 9.516
_cell_angle_alpha 90.00
_cell_angle_beta 106.74
_cell_angle_gamma 90.00
_space_group_name_H-M_alt 'P 1'
_space_group_IT_number 1
_space_group_name_Hall 'P 1'
loop_
_atom_site_label
_atom_site_fract_x
_atom_site_fract_y
_atom_site_fract_z
Rb1 0.205 0.250 0.375
Rb2 0.795 0.750 0.625
Li1 0.182 0.250 0.818
Li2 0.818 0.750 0.182
W1 0.333 0.750 0.212
W2 0.667 0.250 0.788
S1 0.050 0.750 0.006
S2 0.174 0.750 0.397
S3 0.446 0.018 0.776
S4 0.446 0.482 0.776
S5 0.554 0.518 0.224
S6 0.554 0.982 0.224
S7 0.826 0.250 0.603
S8 0.950 0.250 0.994
# Total moment: 0.00 μB per formula unit
# Space group: No. 11
# Formation energy from raw total energies: -0.915 eV/atom

# 13
# Rb2LiWS4, optimized geometry, DFT PBE
data_Rb2LiWS4
_cell_length_a 13.898
_cell_length_b 12.445
_cell_length_c 7.439
_cell_angle_alpha 84.72
_cell_angle_beta 63.08
_cell_angle_gamma 32.20
_space_group_name_H-M_alt 'P 1'
_space_group_IT_number 1
_space_group_name_Hall 'P 1'
loop_
_atom_site_label
_atom_site_fract_x
_atom_site_fract_y
_atom_site_fract_z
Rb1 0.053 0.053 0.697
Rb2 0.303 0.303 0.947
Rb3 0.697 0.697 0.053
Rb4 0.947 0.947 0.303
Li1 0.125 0.125 0.125
Li2 0.875 0.875 0.875
W1 0.375 0.375 0.375
W2 0.625 0.625 0.625
S1 0.001 0.353 0.440
S2 0.295 0.560 0.647
S3 0.353 0.001 0.705
S4 0.440 0.705 0.001
S5 0.560 0.295 0.999
S6 0.647 0.999 0.295
S7 0.705 0.440 0.353
S8 0.999 0.647 0.560
# Total moment: 1.02 μB per formula unit
# Space group: No. 70
# Formation energy from raw total energies: -0.959 eV/atom

# 14
# RbLiY2S4, optimized geometry, DFT PBE
data_RbLiY2S4
_cell_length_a 7.122
_cell_length_b 7.122
_cell_length_c 14.032
_cell_angle_alpha 90.00
_cell_angle_beta 90.00
_cell_angle_gamma 146.90
_space_group_name_H-M_alt 'P 1'
_space_group_IT_number 1
_space_group_name_Hall 'P 1'
loop_
_atom_site_label
_atom_site_fract_x
_atom_site_fract_y
_atom_site_fract_z
Rb1 0.106 0.894 0.750
Rb2 0.894 0.106 0.250
Li1 0.170 0.830 0.250
Li2 0.830 0.170 0.750
Y1 0.366 0.634 0.561
Y2 0.366 0.634 0.939
Y3 0.634 0.366 0.061
Y4 0.634 0.366 0.439
S1 0.000 0.000 0.000
S2 0.000 0.000 0.500
S3 0.260 0.740 0.105
S4 0.260 0.740 0.395
S5 0.419 0.581 0.750
S6 0.581 0.419 0.250
S7 0.740 0.260 0.605
S8 0.740 0.260 0.895
# Total moment: 0.00 μB per formula unit
# Space group: No. 63
# Formation energy from raw total energies: -1.847 eV/atom

# 15
# Rb2LiZr2S6, optimized geometry, DFT PBE
data_Rb2LiZr2S6
_cell_length_a 6.518
_cell_length_b 6.518
_cell_length_c 8.181
_cell_angle_alpha 97.19
_cell_angle_beta 97.19
_cell_angle_gamma 119.84
_space_group_name_H-M_alt 'P 1'
_space_group_IT_number 1
_space_group_name_Hall 'P 1'
loop_
_atom_site_label
_atom_site_fract_x
_atom_site_fract_y
_atom_site_fract_z
Rb1 0.163 0.837 0.000
Rb2 0.837 0.163 0.000
Li1 0.000 0.000 0.500
Zr1 0.333 0.667 0.500
Zr2 0.667 0.333 0.500
S1 0.059 0.406 0.684
S2 0.296 0.296 0.313
S3 0.406 0.059 0.684
S4 0.594 0.941 0.316
S5 0.704 0.704 0.687
S6 0.941 0.594 0.316
# Total moment: 0.00 μB per formula unit
# Space group: No. 12
# Formation energy from raw total energies: -1.337 eV/atom

# 16
# Rb3LiZr3S8, optimized geometry, DFT PBE
data_Rb3LiZr3S8
_cell_length_a 8.898
_cell_length_b 8.898
_cell_length_c 8.898
_cell_angle_alpha 50.81
_cell_angle_beta 50.81
_cell_angle_gamma 50.81
_space_group_name_H-M_alt 'P 1'
_space_group_IT_number 1
_space_group_name_Hall 'P 1'
loop_
_atom_site_label
_atom_site_fract_x
_atom_site_fract_y
_atom_site_fract_z
Rb1 0.000 0.500 0.500
Rb2 0.500 0.000 0.500
Rb3 0.500 0.500 0.000
Li1 0.500 0.500 0.500
Zr1 0.000 0.000 0.500
Zr2 0.000 0.500 0.000
Zr3 0.500 0.000 0.000
S1 0.212 0.734 0.734
S2 0.230 0.230 0.230
S3 0.266 0.266 0.788
S4 0.266 0.788 0.266
S5 0.734 0.212 0.734
S6 0.734 0.734 0.212
S7 0.770 0.770 0.770
S8 0.788 0.266 0.266
# Total moment: 0.00 μB per formula unit
# Space group: No. 166
# Formation energy from raw total energies: -1.447 eV/atom

# 17
# RbLi2Zr3S8, optimized geometry, DFT PBE
data_RbLi2Zr3S8
_cell_length_a 9.587
_cell_length_b 9.587
_cell_length_c 9.587
_cell_angle_alpha 45.51
_cell_angle_beta 45.51
_cell_angle_gamma 45.51
_space_group_name_H-M_alt 'P 1'
_space_group_IT_number 1
_space_group_name_Hall 'P 1'
loop_
_atom_site_label
_atom_site_fract_x
_atom_site_fract_y
_atom_site_fract_z
Rb1 0.000 0.000 0.000
Li1 0.416 0.416 0.416
Li2 0.845 0.845 0.845
Zr1 0.350 0.350 0.849
Zr2 0.350 0.849 0.350
Zr3 0.849 0.350 0.350
S1 0.078 0.078 0.561
S2 0.078 0.561 0.078
S3 0.126 0.126 0.126
S4 0.133 0.621 0.621
S5 0.561 0.078 0.078
S6 0.574 0.574 0.574
S7 0.621 0.133 0.621
S8 0.621 0.621 0.133
# Total moment: 0.00 μB per formula unit
# Space group: No. 160
# Formation energy from raw total energies: -1.349 eV/atom

# 18
# Rb4LiZr3S8, optimized geometry, DFT PBE
data_Rb4LiZr3S8
_cell_length_a 7.742
_cell_length_b 7.742
_cell_length_c 8.839
_cell_angle_alpha 116.00
_cell_angle_beta 116.00
_cell_angle_gamma 59.95
_space_group_name_H-M_alt 'P 1'
_space_group_IT_number 1
_space_group_name_Hall 'P 1'
loop_
_atom_site_label
_atom_site_fract_x
_atom_site_fract_y
_atom_site_fract_z
Rb1 0.000 0.000 0.000
Rb2 0.000 0.500 0.000
Rb3 0.500 0.000 0.000
Rb4 0.500 0.500 0.000
Li1 0.000 0.000 0.500
Zr1 0.000 0.500 0.500
Zr2 0.500 0.000 0.500
Zr3 0.500 0.500 0.500
S1 0.234 0.234 0.685
S2 0.234 0.717 0.685
S3 0.270 0.270 0.310
S4 0.283 0.766 0.315
S5 0.717 0.234 0.685
S6 0.730 0.730 0.690
S7 0.766 0.283 0.315
S8 0.766 0.766 0.315
# Total moment: 0.00 μB per formula unit
# Space group: No. 12
# Formation energy from raw total energies: -1.427 eV/atom

# 19
# Rb2LiZrS4, optimized geometry, DFT PBE
data_Rb2LiZrS4
_cell_length_a 8.555
_cell_length_b 8.555
_cell_length_c 8.555
_cell_angle_alpha 127.45
_cell_angle_beta 118.06
_cell_angle_gamma 85.50
_space_group_name_H-M_alt 'P 1'
_space_group_IT_number 1
_space_group_name_Hall 'P 1'
loop_
_atom_site_label
_atom_site_fract_x
_atom_site_fract_y
_atom_site_fract_z
Rb1 0.000 0.000 0.000
Rb2 0.500 0.000 0.000
Rb3 0.500 0.000 0.500
Rb4 0.500 0.500 0.500
Li1 0.000 0.500 0.500
Li2 0.500 0.500 0.000
Zr1 0.000 0.000 0.500
Zr2 0.000 0.500 0.000
S1 0.194 0.244 0.950
S2 0.205 0.756 0.450
S3 0.209 0.278 0.569
S4 0.209 0.640 0.931
S5 0.791 0.360 0.069
S6 0.791 0.722 0.431
S7 0.795 0.244 0.550
S8 0.806 0.756 0.050
# Total moment: 0.00 μB per formula unit
# Space group: No. 74
# Formation energy from raw total energies: -1.175 eV/atom